No. 1
# PBE-GGA Tl2GeHBr, relaxed
# Symmetry   P4/mmm (123)
# D(E_F)   3.11 states/eV/cell
# Electronic total energy   -2.164 eV/atom
data_Tl2GeHBr
_symmetry_space_group_name_H-M 'P 1'
_symmetry_Int_Tables_number 1
_symmetry_space_group_name_Hall 'P 1'
_cell_length_a 6.2781
_cell_length_b 5.1973
_cell_length_c 6.2781
_cell_angle_alpha 90.00
_cell_angle_beta 90.00
_cell_angle_gamma 90.00
loop_
_atom_site_label
_atom_site_type_symbol
_atom_site_fract_x
_atom_site_fract_y
_atom_site_fract_z
_atom_site_occupancy
H1 H 0.5000 0.5000 0.5000 1
Br1 Br 0.0000 0.0000 0.0000 1
Ge1 Ge 0.0000 0.5000 0.0000 1
Tl1 Tl 0.0000 0.0000 0.5000 1
Tl2 Tl 0.5000 0.0000 0.0000 1

***

No. 2
# PBE-GGA Sr2CrW, relaxed
# Symmetry   Immm (71)
# D(E_F)   4.58 states/eV/cell
# Energy of formation from the pure elements   0.836 eV/atom
# Energy above the most stable polymorph in this dataset   149 meV/atom
# Electronic total energy   -5.649 eV/atom
data_Sr2CrW
_symmetry_space_group_name_H-M 'P 1'
_symmetry_Int_Tables_number 1
_symmetry_space_group_name_Hall 'P 1'
_cell_length_a 9.5969
_cell_length_b 9.5969
_cell_length_c 9.5969
_cell_angle_alpha 158.60
_cell_angle_beta 158.25
_cell_angle_gamma 30.70
loop_
_atom_site_label
_atom_site_type_symbol
_atom_site_fract_x
_atom_site_fract_y
_atom_site_fract_z
_atom_site_occupancy
Cr1 Cr 0.2500 0.7500 0.5000 1
Sr1 Sr 0.4008 0.4008 0.0000 1
Sr2 Sr 0.0992 0.0992 0.0000 1
W1 W 0.7500 0.2500 0.5000 1

***

No. 3
# PBE-GGA La2NiHgB, relaxed
# Symmetry   P4/mmm (123)
# D(E_F)   3.76 states/eV/cell
# Energy of formation from the pure elements   -0.274 eV/atom
# Electronic total energy   -4.797 eV/atom
data_La2NiHgB
_symmetry_space_group_name_H-M 'P 1'
_symmetry_Int_Tables_number 1
_symmetry_space_group_name_Hall 'P 1'
_cell_length_a 5.5071
_cell_length_b 5.5071
_cell_length_c 3.8625
_cell_angle_alpha 90.00
_cell_angle_beta 90.00
_cell_angle_gamma 90.00
loop_
_atom_site_label
_atom_site_type_symbol
_atom_site_fract_x
_atom_site_fract_y
_atom_site_fract_z
_atom_site_occupancy
La1 La 0.5000 0.0000 0.0000 1
La2 La 0.0000 0.5000 0.0000 1
B1 B 0.0000 0.0000 0.0000 1
Ni1 Ni 0.0000 0.0000 0.5000 1
Hg1 Hg 0.5000 0.5000 0.5000 1

***

No. 4
# PBE-GGA IrRu2Cl, relaxed
# Symmetry   R-3m (166)
# D(E_F)   4.56 states/eV/cell
# Energy above the most stable polymorph in this dataset   0 meV/atom
# ΔE_f (raw)   398 meV/atom
# Electronic total energy   -6.916 eV/atom
data_IrRu2Cl
_symmetry_space_group_name_H-M 'P 1'
_symmetry_Int_Tables_number 1
_symmetry_space_group_name_Hall 'P 1'
_cell_length_a 8.5627
_cell_length_b 8.5627
_cell_length_c 8.5627
_cell_angle_alpha 18.97
_cell_angle_beta 18.97
_cell_angle_gamma 18.97
loop_
_atom_site_label
_atom_site_type_symbol
_atom_site_fract_x
_atom_site_fract_y
_atom_site_fract_z
_atom_site_occupancy
Cl1 Cl 0.2500 0.2500 0.2500 1
Ru1 Ru 0.9985 0.9985 0.9985 1
Ru2 Ru 0.5015 0.5015 0.5015 1
Ir1 Ir 0.7500 0.7500 0.7500 1